[1]
The following is a DFT calculation (PBE) of a relaxed NbCu5Pd6 crystal.

Unit cell a=8.210 b=3.998 c=6.285 alpha=71.56 beta=81.14 gamma=60.80
Fractional coordinates of all 12 atoms:
Nb1 0.000 0.000 0.000
Cu1 0.500 0.164 0.671
Cu2 0.000 0.331 0.338
Cu3 0.500 0.500 0.000
Cu4 0.000 0.669 0.662
Cu5 0.500 0.836 0.329
Pd1 0.748 0.086 0.334
Pd2 0.252 0.581 0.334
Pd3 0.250 0.250 0.000
Pd4 0.750 0.750 0.000
Pd5 0.748 0.419 0.666
Pd6 0.252 0.914 0.666

Calculated values
Energy of formation from the pure elements   -0.211 eV/atom
Total magnetization   0.000 μB per atom
V   170.83 Å³/cell
SG   P-1

[2]
The following is a DFT calculation (PBE) of a relaxed Nb3Cu2Pd8 crystal.

Unit cell a=5.172 b=5.172 c=9.876 alpha=74.82 beta=74.82 gamma=60.00
Fractional coordinates of all 13 atoms:
Nb1 0.000 0.000 0.000
Nb2 0.812 0.812 0.565
Nb3 0.188 0.188 0.435
Cu1 0.636 0.636 0.093
Cu2 0.364 0.364 0.907
Pd1 0.720 0.720 0.839
Pd2 0.280 0.280 0.161
Pd3 0.227 0.728 0.317
Pd4 0.728 0.227 0.317
Pd5 0.728 0.728 0.317
Pd6 0.272 0.773 0.683
Pd7 0.773 0.272 0.683
Pd8 0.272 0.272 0.683

Calculated values
Energy of formation from the pure elements   0.075 eV/atom
Total magnetization   0.084 μB per atom
V   218.10 Å³/cell
SG   R-3m

[3]
The following is a DFT calculation (PBE) of a relaxed NbCuPd2 crystal.

Unit cell a=6.992 b=6.992 c=5.640 alpha=51.69 beta=51.69 gamma=90.00
Fractional coordinates of all 8 atoms:
Nb1 0.000 0.000 0.000
Nb2 0.750 0.250 0.500
Cu1 0.500 0.500 0.000
Cu2 0.250 0.750 0.500
Pd1 0.615 0.125 0.250
Pd2 0.135 0.625 0.250
Pd3 0.375 0.385 0.750
Pd4 0.875 0.865 0.750

Calculated values
Energy of formation from the pure elements   0.236 eV/atom
Total magnetization   0.000 μB per atom
V   132.66 Å³/cell
SG   I-42d

[4]
The following is a DFT calculation (PBE) of a relaxed Nb2Cu3Pd7 crystal.

Unit cell a=2.761 b=4.466 c=15.501 alpha=98.38 beta=90.00 gamma=90.00
Fractional coordinates of all 12 atoms:
Nb1 0.500 0.645 0.293
Nb2 0.500 0.355 0.707
Cu1 0.500 0.500 0.000
Cu2 0.000 0.187 0.375
Cu3 0.000 0.813 0.625
Pd1 0.500 0.727 0.454
Pd2 0.500 0.273 0.546
Pd3 0.000 0.567 0.137
Pd4 0.000 0.000 0.000
Pd5 0.000 0.433 0.863
Pd6 0.500 0.901 0.799
Pd7 0.500 0.099 0.201

Calculated values
Energy of formation from the pure elements   -0.007 eV/atom
Total magnetization   0.004 μB per atom
V   189.05 Å³/cell
SG   P2/m

[5]
The following is a DFT calculation (PBE) of a relaxed NbCuPd4 crystal.

Unit cell a=3.725 b=4.964 c=6.292 alpha=107.15 beta=72.78 gamma=67.96
Fractional coordinates of all 6 atoms:
Nb1 0.000 0.000 0.000
Cu1 0.500 0.500 0.500
Pd1 0.834 0.503 0.829
Pd2 0.323 0.022 0.332
Pd3 0.166 0.497 0.171
Pd4 0.677 0.978 0.668

Calculated values
Energy of formation from the pure elements   -0.293 eV/atom
Total magnetization   0.000 μB per atom
Excess energy over the best structure of this formula in the dataset   0 meV/atom
V   91.53 Å³/cell
SG   C2/m

[6]
The following is a DFT calculation (PBE) of a relaxed NbCuPd crystal.

Unit cell a=2.730 b=4.383 c=4.383 alpha=120.00 beta=90.00 gamma=90.00
Fractional coordinates of all 3 atoms:
Nb1 0.000 0.000 0.000
Cu1 0.500 0.333 0.667
Pd1 0.500 0.667 0.333

Calculated values
Energy of formation from the pure elements   -0.177 eV/atom
Total magnetization   0.000 μB per atom
Excess energy over the best structure of this formula in the dataset   0 meV/atom
V   45.41 Å³/cell
SG   P-6m2

[7]
The following is a DFT calculation (PBE) of a relaxed Nb2Cu3Pd8 crystal.

Unit cell a=5.388 b=7.004 c=6.619 alpha=121.94 beta=97.40 gamma=90.00
Fractional coordinates of all 13 atoms:
Nb1 0.260 0.206 0.411
Nb2 0.740 0.794 0.589
Cu1 0.500 0.000 0.000
Cu2 0.000 0.173 0.000
Cu3 0.000 0.827 0.000
Pd1 0.869 0.590 0.180
Pd2 0.131 0.410 0.820
Pd3 0.790 0.198 0.396
Pd4 0.210 0.802 0.604
Pd5 0.576 0.576 0.766
Pd6 0.576 0.190 0.766
Pd7 0.424 0.810 0.234
Pd8 0.424 0.424 0.234

Calculated values
Energy of formation from the pure elements   -0.031 eV/atom
Total magnetization   0.000 μB per atom
V   209.54 Å³/cell
SG   C2/m

[8]
The following is a DFT calculation (PBE) of a relaxed Nb6CuPd crystal.

Unit cell a=4.746 b=4.746 c=7.007 alpha=70.20 beta=70.20 gamma=90.00
Fractional coordinates of all 8 atoms:
Nb1 0.753 0.753 0.494
Nb2 0.625 0.125 0.749
Nb3 0.125 0.625 0.749
Nb4 0.375 0.875 0.251
Nb5 0.247 0.247 0.506
Nb6 0.875 0.375 0.251
Cu1 0.000 0.000 0.000
Pd1 0.500 0.500 0.000

Calculated values
Energy of formation from the pure elements   -0.032 eV/atom
Total magnetization   0.000 μB per atom
V   138.55 Å³/cell
SG   I4/mmm

[9]
The following is a DFT calculation (PBE) of a relaxed Nb2Cu2Pd crystal.

Unit cell a=7.184 b=7.184 c=2.985 alpha=90.00 beta=90.00 gamma=90.00
Fractional coordinates of all 10 atoms:
Nb1 0.174 0.674 0.500
Nb2 0.674 0.826 0.500
Nb3 0.826 0.326 0.500
Nb4 0.326 0.174 0.500
Cu1 0.378 0.878 0.000
Cu2 0.878 0.622 0.000
Cu3 0.622 0.122 0.000
Cu4 0.122 0.378 0.000
Pd1 0.000 0.000 0.000
Pd2 0.500 0.500 0.000

Calculated values
Energy of formation from the pure elements   0.077 eV/atom
Total magnetization   0.000 μB per atom
Excess energy over the best structure of this formula in the dataset   0 meV/atom
V   154.09 Å³/cell
SG   P4/mbm

[10]
The following is a DFT calculation (PBE) of a relaxed Nb2CuPd2 crystal.

Unit cell a=7.753 b=7.753 c=2.839 alpha=90.00 beta=90.00 gamma=90.00
Fractional coordinates of all 10 atoms:
Nb1 0.172 0.672 0.500
Nb2 0.672 0.828 0.500
Nb3 0.828 0.328 0.500
Nb4 0.328 0.172 0.500
Cu1 0.000 0.000 0.000
Cu2 0.500 0.500 0.000
Pd1 0.375 0.875 0.000
Pd2 0.875 0.625 0.000
Pd3 0.625 0.125 0.000
Pd4 0.125 0.375 0.000

Calculated values
Energy of formation from the pure elements   0.016 eV/atom
Total magnetization   0.000 μB per atom
Excess energy over the best structure of this formula in the dataset   121 meV/atom
V   170.66 Å³/cell
SG   P4/mbm

[11]
The following is a DFT calculation (PBE) of a relaxed NbCuPd crystal.

Unit cell a=2.742 b=5.388 c=6.895 alpha=75.36 beta=78.53 gamma=75.26
Fractional coordinates of all 6 atoms:
Nb1 0.523 0.095 0.859
Nb2 0.756 0.345 0.143
Cu1 0.515 0.464 0.506
Cu2 0.236 0.040 0.488
Pd1 0.988 0.804 0.221
Pd2 0.265 0.651 0.819

Calculated values
Energy of formation from the pure elements   -0.004 eV/atom
Total magnetization   0.000 μB per atom
Excess energy over the best structure of this formula in the dataset   173 meV/atom
V   94.34 Å³/cell
SG   Cm

[12]
The following is a DFT calculation (PBE) of a relaxed NbCu4Pd5 crystal.

Unit cell a=2.958 b=2.958 c=16.339 alpha=90.00 beta=90.00 gamma=90.00
Fractional coordinates of all 10 atoms:
Nb1 0.000 0.000 0.000
Cu1 0.000 0.000 0.214
Cu2 0.000 0.000 0.404
Cu3 0.000 0.000 0.596
Cu4 0.000 0.000 0.786
Pd1 0.500 0.500 0.115
Pd2 0.500 0.500 0.309
Pd3 0.500 0.500 0.500
Pd4 0.500 0.500 0.691
Pd5 0.500 0.500 0.885

Calculated values
Energy of formation from the pure elements   -0.172 eV/atom
Total magnetization   0.000 μB per atom
V   142.97 Å³/cell
SG   P4/mmm

[13]
The following is a DFT calculation (PBE) of a relaxed NbCu3Pd6 crystal.

Unit cell a=6.756 b=6.756 c=6.756 alpha=92.04 beta=92.04 gamma=92.04
Fractional coordinates of all 20 atoms:
Nb1 0.000 0.000 0.000
Nb2 0.500 0.500 0.500
Cu1 0.266 0.755 0.878
Cu2 0.755 0.878 0.266
Cu3 0.122 0.734 0.245
Cu4 0.878 0.266 0.755
Cu5 0.245 0.122 0.734
Cu6 0.734 0.245 0.122
Pd1 0.374 0.048 0.145
Pd2 0.952 0.855 0.626
Pd3 0.375 0.846 0.511
Pd4 0.855 0.626 0.952
Pd5 0.511 0.375 0.846
Pd6 0.154 0.489 0.625
Pd7 0.846 0.511 0.375
Pd8 0.489 0.625 0.154
Pd9 0.145 0.374 0.048
Pd10 0.625 0.154 0.489
Pd11 0.048 0.145 0.374
Pd12 0.626 0.952 0.855

Calculated values
Energy of formation from the pure elements   -0.060 eV/atom
Total magnetization   0.000 μB per atom
Excess energy over the best structure of this formula in the dataset   148 meV/atom
V   307.77 Å³/cell
SG   R-3

[14]
The following is a DFT calculation (PBE) of a relaxed NbCu5Pd4 crystal.

Unit cell a=4.637 b=5.387 c=6.122 alpha=103.08 beta=105.55 gamma=75.27
Fractional coordinates of all 10 atoms:
Nb1 0.500 0.000 0.000
Cu1 0.290 0.210 0.598
Cu2 0.088 0.405 0.193
Cu3 0.912 0.595 0.807
Cu4 0.500 0.500 0.000
Cu5 0.710 0.790 0.402
Pd1 0.689 0.300 0.392
Pd2 0.114 0.896 0.205
Pd3 0.311 0.700 0.608
Pd4 0.886 0.104 0.795

Calculated values
Energy of formation from the pure elements   -0.147 eV/atom
Total magnetization   0.000 μB per atom
V   140.44 Å³/cell
SG   P-1

[15]
The following is a DFT calculation (PBE) of a relaxed Nb2CuPd8 crystal.

Unit cell a=4.348 b=7.444 c=6.962 alpha=122.32 beta=108.20 gamma=90.00
Fractional coordinates of all 11 atoms:
Nb1 0.207 0.707 0.414
Nb2 0.793 0.293 0.586
Pd1 0.652 0.866 0.304
Pd2 0.348 0.561 0.696
Pd3 0.138 0.138 0.277
Pd4 0.000 0.314 0.000
Pd5 0.862 0.862 0.723
Pd6 0.652 0.439 0.304
Pd7 0.348 0.134 0.696
Pd8 0.000 0.686 0.000
Cu1 0.500 0.000 0.000

Calculated values
Energy of formation from the pure elements   -0.219 eV/atom
Total magnetization   0.000 μB per atom
Excess energy over the best structure of this formula in the dataset   0 meV/atom
V   176.95 Å³/cell
SG   Immm

[16]
The following is a DFT calculation (PBE) of a relaxed NbCuPd2 crystal.

Unit cell a=3.849 b=5.577 c=5.676 alpha=90.00 beta=90.00 gamma=90.00
Fractional coordinates of all 8 atoms:
Nb1 0.000 0.500 0.250
Nb2 0.000 0.500 0.750
Cu1 0.000 0.000 0.250
Cu2 0.000 0.000 0.750
Pd1 0.500 0.757 0.000
Pd2 0.500 0.757 0.500
Pd3 0.500 0.243 0.000
Pd4 0.500 0.243 0.500

Calculated values
Energy of formation from the pure elements   -0.251 eV/atom
Total magnetization   0.000 μB per atom
V   121.85 Å³/cell
SG   Pmmm

[17]
The following is a DFT calculation (PBE) of a relaxed NbCuPd crystal.

Unit cell a=2.816 b=2.816 c=6.070 alpha=103.41 beta=103.41 gamma=90.00
Fractional coordinates of all 3 atoms:
Nb1 0.997 0.997 0.994
Pd1 0.674 0.674 0.348
Cu1 0.329 0.329 0.658

Calculated values
Energy of formation from the pure elements   -0.137 eV/atom
Total magnetization   0.000 μB per atom
Excess energy over the best structure of this formula in the dataset   40 meV/atom
V   45.49 Å³/cell
SG   I4mm

[18]
The following is a DFT calculation (PBE) of a relaxed Nb2Cu2Pd5 crystal.

Unit cell a=7.691 b=6.755 c=6.520 alpha=121.20 beta=90.00 gamma=90.00
Fractional coordinates of all 18 atoms:
Nb1 0.000 0.238 0.477
Nb2 0.500 0.738 0.477
Nb3 0.000 0.762 0.523
Nb4 0.500 0.262 0.523
Cu1 0.585 0.868 0.000
Cu2 0.415 0.132 0.000
Cu3 0.085 0.632 0.000
Cu4 0.915 0.368 0.000
Pd1 0.000 0.000 0.000
Pd2 0.500 0.500 0.000
Pd3 0.805 0.851 0.266
Pd4 0.195 0.415 0.266
Pd5 0.305 0.915 0.266
Pd6 0.695 0.351 0.266
Pd7 0.195 0.149 0.734
Pd8 0.805 0.585 0.734
Pd9 0.695 0.085 0.734
Pd10 0.305 0.649 0.734

Calculated values
Energy of formation from the pure elements   -0.026 eV/atom
Total magnetization   0.000 μB per atom
V   289.71 Å³/cell
SG   Cmce

[19]
The following is a DFT calculation (PBE) of a relaxed NbCu3Pd6 crystal.

Unit cell a=4.048 b=8.212 c=8.926 alpha=96.24 beta=90.00 gamma=90.00
Fractional coordinates of all 20 atoms:
Nb1 0.250 0.936 0.621
Nb2 0.750 0.064 0.379
Cu1 0.250 0.551 0.396
Cu2 0.750 0.449 0.604
Cu3 0.250 0.350 0.812
Cu4 0.750 0.650 0.188
Cu5 0.250 0.746 0.990
Cu6 0.750 0.254 0.010
Pd1 0.250 0.459 0.101
Pd2 0.750 0.541 0.899
Pd3 0.250 0.156 0.210
Pd4 0.750 0.844 0.790
Pd5 0.250 0.629 0.689
Pd6 0.750 0.371 0.311
Pd7 0.250 0.254 0.514
Pd8 0.750 0.746 0.486
Pd9 0.250 0.846 0.299
Pd10 0.750 0.154 0.701
Pd11 0.250 0.059 0.905
Pd12 0.750 0.941 0.095

Calculated values
Energy of formation from the pure elements   -0.207 eV/atom
Total magnetization   0.000 μB per atom
Excess energy over the best structure of this formula in the dataset   0 meV/atom
V   294.94 Å³/cell
SG   P2_1/m

[20]
The following is a DFT calculation (PBE) of a relaxed Nb2CuPd3 crystal.

Unit cell a=2.855 b=2.855 c=11.506 alpha=90.00 beta=90.00 gamma=90.00
Fractional coordinates of all 6 atoms:
Nb1 0.500 0.500 0.822
Nb2 0.500 0.500 0.178
Cu1 0.500 0.500 0.500
Pd1 0.000 0.000 0.000
Pd2 0.000 0.000 0.652
Pd3 0.000 0.000 0.348

Calculated values
Energy of formation from the pure elements   -0.271 eV/atom
Total magnetization   0.000 μB per atom
V   93.77 Å³/cell
SG   P4/mmm